Entry 1:
VASP calculation (GGA-PBE) on a relaxed Ca3TiZn crystal.

abc: 5.866 5.866 5.866
angles: 90.00 90.00 90.00
Space group Pm-3m (No. 221)
One atom of each set of equivalent atoms:
Ca (0.000, 0.000, 0.500) (multiplicity 3)
Ti (0.000, 0.000, 0.000) (multiplicity 1)
Zn (0.500, 0.500, 0.500) (multiplicity 1)

Computed properties:
Spin magnetization = 4.1 μB per cell
ΔH_f (0 K) = 0.82 eV per atom
N(E_F) = 5.649 states/eV/f.u.
Total energy = -2.21 eV per atom

---

Entry 2:
VASP calculation (GGA-PBE) on a relaxed CaTiZn3 crystal.

abc: 5.052 5.052 5.052
angles: 90.00 90.00 90.00
Space group Pm-3m (No. 221)
One atom of each set of equivalent atoms:
Ca (0.000, 0.000, 0.000) (multiplicity 1)
Ti (0.500, 0.500, 0.500) (multiplicity 1)
Zn (0.000, 0.000, 0.500) (multiplicity 3)

Computed properties:
Spin magnetization = 0.0 μB per cell
ΔH_f (0 K) = 1.20 eV per atom
N(E_F) = 3.512 states/eV/f.u.
Total energy = -1.54 eV per atom

---

Entry 3:
VASP calculation (GGA-PBE) on a relaxed CaTiZn2 crystal.

abc: 7.455 7.455 6.473
angles: 90.00 90.00 90.00
Space group I-42d (No. 122)
One atom of each set of equivalent atoms:
Ca (0.000, 0.000, 0.000) (multiplicity 4)
Ti (0.000, 0.000, 0.500) (multiplicity 4)
Zn (0.211, 0.750, 0.625) (multiplicity 8)

Computed properties:
Spin magnetization = 0.0 μB per cell
ΔH_f (0 K) = 0.31 eV per atom
N(E_F) = 2.610 states/eV/f.u.
Total energy = -2.80 eV per atom

---

Entry 4:
VASP calculation (GGA-PBE) on a relaxed Ca3TiZn crystal.

abc: 5.577 5.577 5.577
angles: 90.00 90.00 90.00
Space group Pm-3m (No. 221)
One atom of each set of equivalent atoms:
Ca (0.000, 0.000, 0.500) (multiplicity 3)
Ti (0.500, 0.500, 0.500) (multiplicity 1)
Zn (0.000, 0.000, 0.000) (multiplicity 1)

Computed properties:
Spin magnetization = 0.0 μB per cell
ΔH_f (0 K) = 0.63 eV per atom
N(E_F) = 11.583 states/eV/f.u.
Total energy = -2.41 eV per atom

---

Entry 5:
VASP calculation (GGA-PBE) on a relaxed CaTi2Zn2 crystal.

abc: 4.736 4.736 9.601
angles: 90.00 90.00 90.00
Space group I4/mmm (No. 139)
One atom of each set of equivalent atoms:
Ca (0.000, 0.000, 0.000) (multiplicity 2)
Ti (0.000, 0.000, 0.365) (multiplicity 4)
Zn (0.000, 0.500, 0.250) (multiplicity 4)

Computed properties:
Spin magnetization = 4.8 μB per cell
ΔH_f (0 K) = 0.29 eV per atom
N(E_F) = 6.255 states/eV/f.u.
Total energy = -3.78 eV per atom

---

Entry 6:
VASP calculation (GGA-PBE) on a relaxed CaTiZn crystal.

abc: 4.7952 4.7952 6.4501
angles: 90.00 90.00 120.00
Space group P6_3/mmc (No. 194)
One atom of each set of equivalent atoms:
Ca (0.0000, 0.0000, 0.0000) (multiplicity 2)
Ti (0.3333, 0.6667, 0.2500) (multiplicity 2)
Zn (0.3333, 0.6667, 0.7500) (multiplicity 2)

Computed properties:
Spin magnetization = 0.0 μB per cell
ΔH_f (0 K) = 0.24 eV per atom
N(E_F) = 1.383 states/eV/f.u.
Total energy = -3.48 eV per atom

---

The lowest total energy belongs to which entry? CaTi2Zn2